#one
A relaxed structure of Ca2MnIr. Source: the Alexandria database, functional PBE.

Calculated values
- M_tot: 8.34 Bohr magnetons per cell

Cell: 4.118 4.406 10.900 Å, 90.00 90.00 90.00°
Space group Amm2 (No. 38)
Inequivalent atoms, fractional coordinates:
Ca  0.000  0.000  0.000 [2 per cell]
Ca  0.500  0.000  0.282 [2 per cell]
Mn  0.500  0.000  0.583 [2 per cell]
Ir  0.000  0.000  0.704 [2 per cell]

---

#two
A relaxed structure of Ca2MnIr. Source: the Alexandria database, functional PBE.

Calculated values
- M_tot: 16.40 Bohr magnetons per cell

Cell: 7.030 7.030 7.030 Å, 90.00 90.00 90.00°
Space group Fm-3m (No. 225)
Inequivalent atoms, fractional coordinates:
Ca  0.250  0.250  0.250 [8 per cell]
Mn  0.000  0.000  0.000 [4 per cell]
Ir  0.000  0.000  0.500 [4 per cell]

---

Each structure's energy above the most stable one, in meV per atom: #one 0; #two 196.

---

#one
A relaxed structure of Ca2MnIr. Source: the Alexandria database, functional PBE.

Calculated values
- M_tot: 3.61 Bohr magnetons per cell

Cell: 3.433 3.433 8.328 Å, 90.00 90.00 90.00°
Space group P4mm (No. 99)
Inequivalent atoms, fractional coordinates:
Ca  0.000  0.000  0.000 [1 per cell]
Ca  0.500  0.500  0.397 [1 per cell]
Mn  0.500  0.500  0.744 [1 per cell]
Ir  0.000  0.000  0.641 [1 per cell]

---

#two
A relaxed structure of Ca2MnIr. Source: the Alexandria database, functional PBE.

Calculated values
- M_tot: 4.10 Bohr magnetons per cell

Cell: 3.403 3.403 7.939 Å, 90.00 90.00 90.00°
Space group P4/mmm (No. 123)
Inequivalent atoms, fractional coordinates:
Ca  0.000  0.000  0.214 [2 per cell]
Mn  0.500  0.500  0.500 [1 per cell]
Ir  0.500  0.500  0.000 [1 per cell]

---

#three
A relaxed structure of Ca2MnIr. Source: the Alexandria database, functional PBE.

Calculated values
- M_tot: 16.24 Bohr magnetons per cell

Cell: 6.899 6.899 6.899 Å, 90.00 90.00 90.00°
Space group F-43m (No. 216)
Inequivalent atoms, fractional coordinates:
Ca  0.000  0.000  0.000 [4 per cell]
Ca  0.250  0.250  0.250 [4 per cell]
Mn  0.250  0.250  0.750 [4 per cell]
Ir  0.000  0.000  0.500 [4 per cell]

---

#four
A relaxed structure of Ca2MnIr. Source: the Alexandria database, functional PBE.

Calculated values
- M_tot: 16.24 Bohr magnetons per cell

Cell: 10.241 10.241 4.916 Å, 90.00 90.00 90.00°
Space group I-42d (No. 122)
Inequivalent atoms, fractional coordinates:
Ca  0.091  0.250  0.125 [8 per cell]
Mn  0.000  0.000  0.500 [4 per cell]
Ir  0.000  0.000  0.000 [4 per cell]

---

Each structure's energy above the most stable one, in meV per atom: #one 0; #two 159; #three 141; #four 211.

---

#one
A relaxed structure of Ca2MnIr. Source: the Alexandria database, functional PBE.

Calculated values
- M_tot: 8.12 Bohr magnetons per cell

Cell: 3.458 5.006 10.803 Å, 90.00 90.00 90.00°
Space group Imm2 (No. 44)
Inequivalent atoms, fractional coordinates:
Ca  0.000  0.000  0.000 [2 per cell]
Ca  0.000  0.500  0.205 [2 per cell]
Mn  0.000  0.000  0.401 [2 per cell]
Ir  0.000  0.500  0.736 [2 per cell]

---

#two
A relaxed structure of Ca2MnIr. Source: the Alexandria database, functional PBE.

Calculated values
- M_tot: 4.05 Bohr magnetons per cell

Cell: 4.605 4.605 4.048 Å, 90.00 90.00 90.00°
Space group P4/mmm (No. 123)
Inequivalent atoms, fractional coordinates:
Ca  0.000  0.500  0.000 [2 per cell]
Mn  0.000  0.000  0.500 [1 per cell]
Ir  0.500  0.500  0.500 [1 per cell]

---

Each structure's energy above the most stable one, in meV per atom: #one 0; #two 162.

---

#one
A relaxed structure of CaMn2Ir2. Source: the Alexandria database, functional PBE.

Calculated values
- M_tot: 0.00 Bohr magnetons per cell

Cell: 7.496 7.496 2.683 Å, 90.00 90.00 90.00°
Space group P4/mbm (No. 127)
Inequivalent atoms, fractional coordinates:
Ca  0.000  0.000  0.000 [2 per cell]
Mn  0.167  0.333  0.500 [4 per cell]
Ir  0.127  0.627  0.000 [4 per cell]

---

#two
A relaxed structure of CaMn2Ir2. Source: the Alexandria database, functional PBE.

Calculated values
- M_tot: 13.51 Bohr magnetons per cell

Cell: 7.601 7.601 2.811 Å, 90.00 90.00 90.00°
Space group P4/mbm (No. 127)
Inequivalent atoms, fractional coordinates:
Ca  0.000  0.000  0.000 [2 per cell]
Mn  0.136  0.364  0.000 [4 per cell]
Ir  0.159  0.659  0.500 [4 per cell]

---

#three
A relaxed structure of CaMn2Ir2. Source: the Alexandria database, functional PBE.

Calculated values
- M_tot: 4.93 Bohr magnetons per cell

Cell: 4.118 4.118 9.684 Å, 90.00 90.00 90.00°
Space group I4/mmm (No. 139)
Inequivalent atoms, fractional coordinates:
Ca  0.000  0.000  0.000 [2 per cell]
Mn  0.000  0.000  0.393 [4 per cell]
Ir  0.000  0.500  0.250 [4 per cell]

---

Each structure's energy above the most stable one, in meV per atom: #one 170; #two 0; #three 79.

---

#one
A relaxed structure of Ca2Mo2Ir. Source: the Alexandria database, functional PBE.

Calculated values
- M_tot: 0.00 Bohr magnetons per cell

Cell: 3.492 3.492 18.968 Å, 90.00 90.00 90.00°
Space group I4/mmm (No. 139)
Inequivalent atoms, fractional coordinates:
Ca  0.000  0.000  0.089 [4 per cell]
Mo  0.000  0.500  0.250 [4 per cell]
Ir  0.000  0.000  0.500 [2 per cell]

---

#two
A relaxed structure of Ca2Mo2Ir. Source: the Alexandria database, functional PBE.

Calculated values
- M_tot: 0.00 Bohr magnetons per cell

Cell: 8.492 8.492 3.061 Å, 90.00 90.00 90.00°
Space group P4/mbm (No. 127)
Inequivalent atoms, fractional coordinates:
Ca  0.204  0.296  0.000 [4 per cell]
Mo  0.090  0.590  0.500 [4 per cell]
Ir  0.000  0.000  0.000 [2 per cell]

---

Each structure's energy above the most stable one, in meV per atom: #one 0; #two 648.

---

#one
A relaxed structure of CaMo3Ir. Source: the Alexandria database, functional PBE.

Calculated values
- M_tot: 0.00 Bohr magnetons per cell

Cell: 4.483 4.483 4.483 Å, 90.00 90.00 90.00°
Space group Pm-3m (No. 221)
Inequivalent atoms, fractional coordinates:
Ca  0.000  0.000  0.000 [1 per cell]
Mo  0.000  0.000  0.500 [3 per cell]
Ir  0.500  0.500  0.500 [1 per cell]

---

#two
A relaxed structure of CaMo3Ir. Source: the Alexandria database, functional PBE.

Calculated values
- M_tot: 2.28 Bohr magnetons per cell

Cell: 4.853 4.853 4.853 Å, 90.00 90.00 90.00°
Space group Pm-3m (No. 221)
Inequivalent atoms, fractional coordinates:
Ca  0.000  0.000  0.000 [1 per cell]
Mo  0.000  0.500  0.500 [3 per cell]
Ir  0.500  0.500  0.500 [1 per cell]

---

Each structure's energy above the most stable one, in meV per atom: #one 1487; #two 0.